No. 1
Compound: PrMg3Pt3
Source: Alexandria
Functional: PBE-GGA
Structure: optimized geometry

Unit cell a=7.0173 b=7.0173 c=7.0173 alpha=90.00 beta=90.00 gamma=90.00
Fractional positions:
Pr1 0.0000 0.0000 0.0000
Pr2 0.5000 0.5000 0.5000
Mg1 0.0000 0.2500 0.5000
Mg2 0.0000 0.7500 0.5000
Mg3 0.2500 0.5000 0.0000
Mg4 0.5000 0.0000 0.2500
Mg5 0.5000 0.0000 0.7500
Mg6 0.7500 0.5000 0.0000
Pt1 0.0000 0.5000 0.2500
Pt2 0.0000 0.5000 0.7500
Pt3 0.2500 0.0000 0.5000
Pt4 0.5000 0.2500 0.0000
Pt5 0.5000 0.7500 0.0000
Pt6 0.7500 0.0000 0.5000

## Properties
- formation energy from the elements (eV per atom) = -0.206
- DOS at the Fermi energy (states/eV per atom) = 0.328

***

No. 2
Compound: CaPbCl
Source: Alexandria
Functional: PBE-GGA
Structure: optimized geometry

Unit cell a=8.7704 b=8.7704 c=8.7704 alpha=154.86 beta=140.31 gamma=47.56
Fractional positions:
Ca1 0.1579 0.1579 0.0000
Ca2 0.8421 0.8421 0.0000
Pb1 0.2512 0.5000 0.7512
Pb2 0.7488 0.5000 0.2488
Cl1 0.2789 0.7789 0.5000
Cl2 0.7211 0.2211 0.5000

## Properties
- excess energy over the best structure of this formula in the dataset (meV per atom) = 0
- raw formation energy (kJ/mol of atoms) = -113.8
- DOS at the Fermi energy (states/eV per atom) = 0.368

***

No. 3
Compound: Tb2Y2Ho5
Source: Alexandria
Functional: PBE-GGA
Structure: optimized geometry

Unit cell a=10.0276 b=10.0276 c=10.0276 alpha=84.45 beta=108.63 gamma=141.02
Fractional positions:
Tb1 0.0000 0.0000 0.0000
Tb2 0.0000 0.5000 0.5000
Tb3 0.0848 0.8471 0.7376
Tb4 0.1095 0.3471 0.2624
Y1 0.5415 0.6733 0.1214
Y2 0.5415 0.9201 0.3682
Y3 0.5519 0.1733 0.6318
Y4 0.5519 0.4201 0.8786
Ho1 0.1181 0.0238 0.3797
Ho2 0.1181 0.2383 0.5943
Ho3 0.1376 0.6410 0.9966
Ho4 0.4430 0.1473 0.1909
Ho5 0.4430 0.7520 0.7957
Ho6 0.6444 0.1410 0.0034
Ho7 0.6440 0.5238 0.4057
Ho8 0.6440 0.7383 0.6203
Ho9 0.9564 0.2520 0.8091
Ho10 0.9564 0.6473 0.2043

## Properties
- excess energy over the best structure of this formula in the dataset (meV per atom) = 97
- formation energy from the elements (eV per atom) = 0.219
- DOS at the Fermi energy (states/eV per atom) = 1.674

***

No. 4
Compound: Ca3TcF
Source: Alexandria
Functional: PBE-GGA
Structure: optimized geometry

Unit cell a=5.3913 b=5.3913 c=5.3913 alpha=90.00 beta=90.00 gamma=90.00
Fractional positions:
Ca1 0.0000 0.0000 0.5000
Ca2 0.0000 0.5000 0.0000
Ca3 0.5000 0.0000 0.0000
Tc1 0.0000 0.0000 0.0000
F1 0.5000 0.5000 0.5000

## Properties
- excess energy over the best structure of this formula in the dataset (meV per atom) = 620
- raw formation energy (kJ/mol of atoms) = -1.7
- DOS at the Fermi energy (states/eV per atom) = 0.504